# 1
First-principles (GGA-PBE) data for RbSrNdBr6 after structural relaxation, as listed in the Alexandria database.

Structure (CIF):
```
data_RbSrNdBr6
_chemical_formula_sum 'Rb2 Sr2 Nd2 Br12'
_cell_length_a 7.8534
_cell_length_b 7.8534
_cell_length_c 14.6605
_cell_angle_alpha 90.00
_cell_angle_beta 90.00
_cell_angle_gamma 120.00
_space_group_name_H-M_alt 'P -3 1 c'
_space_group_IT_number 163
_space_group_name_Hall '-P 3 2c'
loop_
_atom_site_label
_atom_site_type_symbol
_atom_site_fract_x
_atom_site_fract_y
_atom_site_fract_z
Rb1 Rb 0.0000 0.0000 0.0000
Sr1 Sr 0.3333 0.6667 0.2500
Nd1 Nd 0.3333 0.6667 0.7500
Br1 Br 0.0150 0.3789 0.6359
```

## Properties
Formation energy without anion corrections (eV per formula unit): -17.60
Size of the total moment (μB/cell): 0.000

# 2
First-principles (GGA-PBE) data for AuNF2 after structural relaxation, as listed in the Alexandria database.

Structure (CIF):
```
data_AuNF2
_chemical_formula_sum 'Au3 N3 F6'
_cell_length_a 3.0901
_cell_length_b 3.0901
_cell_length_c 21.8542
_cell_angle_alpha 90.00
_cell_angle_beta 90.00
_cell_angle_gamma 120.00
_space_group_name_H-M_alt 'R -3 m'
_space_group_IT_number 166
_space_group_name_Hall '-R 3 2"'
loop_
_atom_site_label
_atom_site_type_symbol
_atom_site_fract_x
_atom_site_fract_y
_atom_site_fract_z
Au1 Au 0.0000 0.0000 0.0000
N1 N 0.0000 0.0000 0.5000
F1 F 0.0000 0.0000 0.0908
```

## Properties
Energy above the lowest structure with this stoichiometry (kJ/mol of atoms): 5.4
Formation energy without anion corrections (eV per formula unit): 3.31
Size of the total moment (μB/cell): 6.208

# 3
First-principles (GGA-PBE) data for Cu4TeS5 after structural relaxation, as listed in the Alexandria database.

Structure (CIF):
```
data_Cu4TeS5
_chemical_formula_sum 'Cu8 Te2 S10'
_cell_length_a 7.958
_cell_length_b 7.958
_cell_length_c 5.169
_cell_angle_alpha 90.00
_cell_angle_beta 90.00
_cell_angle_gamma 90.00
_space_group_name_H-M_alt 'I 4/m'
_space_group_IT_number 87
_space_group_name_Hall '-I 4'
loop_
_atom_site_label
_atom_site_type_symbol
_atom_site_fract_x
_atom_site_fract_y
_atom_site_fract_z
Cu1 Cu 0.108 0.301 0.000
Te1 Te 0.000 0.000 0.500
S1 S 0.000 0.000 0.000
S2 S 0.107 0.315 0.500
```

## Properties
Formation energy without anion corrections (eV per formula unit): 0.07
Size of the total moment (μB/cell): 0.000

# 4
First-principles (GGA-PBE) data for HgSeNO3 after structural relaxation, as listed in the Alexandria database.

Structure (CIF):
```
data_HgSeNO3
_chemical_formula_sum 'Hg4 Se4 N4 O12'
_cell_length_a 6.400
_cell_length_b 5.424
_cell_length_c 14.112
_cell_angle_alpha 90.00
_cell_angle_beta 110.00
_cell_angle_gamma 90.00
_space_group_name_H-M_alt 'P 1 21/c 1'
_space_group_IT_number 14
loop_
_space_group_symop_operation_xyz
'x,y,z'
'-x,-y,-z'
'-x,y+1/2,-z+1/2'
'x,-y+1/2,z+1/2'
loop_
_atom_site_label
_atom_site_type_symbol
_atom_site_fract_x
_atom_site_fract_y
_atom_site_fract_z
Hg1 Hg 0.239 0.187 0.267
Se1 Se 0.185 0.620 0.427
N1 N 0.401 0.514 0.194
O1 O 0.100 0.051 0.109
O2 O 0.165 0.738 0.814
O3 O 0.309 0.160 0.917
```

## Properties
Formation energy without anion corrections (eV per formula unit): 2.11
Size of the total moment (μB/cell): 11.991